Record 1
Density functional theory data (PBE) for crystalline Na2AlCuF7 at its relaxed geometry.

a b c (Å): 6.9123 9.9611 7.2141
angles (deg): 90.00 90.00 90.00
With the nearest neighbours (Å) after each atom.
Space group Imma (No. 74)
One atom of each set of equivalent atoms:
Na (0.0000, 0.0000, 0.0000)  2 F 2.14
Na (0.2500, 0.2500, 0.2500)  8 F 2.39-2.64
Al (0.0000, 0.0000, 0.5000)  6 F 1.79-1.84
Cu (0.2500, 0.2500, 0.7500)  6 F 1.92-1.99
F (0.0000, 0.0849, 0.2731)  1 Al 1.84
F (0.0000, 0.2500, 0.8672)  2 Cu 1.92
F (0.1932, 0.1122, 0.5583)  1 Al 1.79, 1 Cu 1.99


Record 2
Density functional theory data (PBE) for crystalline AlFeCu at its relaxed geometry.

a b c (Å): 5.6090 5.6090 5.6090
angles (deg): 90.00 90.00 90.00
With the nearest neighbours (Å) after each atom.
Space group F-43m (No. 216)
One atom of each set of equivalent atoms:
Al (0.0000, 0.0000, 0.0000)  4 Cu 2.43
Fe (0.0000, 0.0000, 0.5000)  4 Cu 2.43
Cu (0.2500, 0.2500, 0.2500)  4 Fe 2.43, 4 Al 2.43


Record 3
Density functional theory data (PBE) for crystalline Al2FeCu at its relaxed geometry.

a b c (Å): 5.9163 5.9163 5.9163
angles (deg): 90.00 90.00 90.00
With the nearest neighbours (Å) after each atom.
Space group F-43m (No. 216)
One atom of each set of equivalent atoms:
Al (0.0000, 0.0000, 0.0000)  4 Al 2.56, 4 Cu 2.56
Al (0.2500, 0.2500, 0.2500)  4 Fe 2.56, 4 Al 2.56
Fe (0.0000, 0.0000, 0.5000)  4 Al 2.56, 4 Cu 2.56
Cu (0.2500, 0.2500, 0.7500)  4 Fe 2.56, 4 Al 2.56


Record 4
Density functional theory data (PBE) for crystalline GdHo2Al3FeCu2 at its relaxed geometry.

a b c (Å): 3.8290 12.3730 7.1718
angles (deg): 90.00 90.00 90.00
With the nearest neighbours (Å) after each atom.
Space group Amm2 (No. 38)
One atom of each set of equivalent atoms:
Gd (0.0000, 0.0000, 0.0000)  4 Cu 2.89, 1 Fe 3.00, 6 Al 3.13-3.23
Ho (0.0000, 0.2077, 0.6246)  4 Cu 2.87-2.88, 1 Fe 2.96, 6 Al 3.13-3.21
Al (0.5000, 0.0000, 0.6541)  2 Fe 2.55, 2 Cu 2.81
Al (0.5000, 0.1195, 0.2992)  2 Fe 2.57, 2 Cu 2.75-2.81
Fe (0.0000, 0.0000, 0.4190)  6 Al 2.55-2.57
Cu (0.5000, 0.1685, 0.9163)  3 Al 2.75-2.81, 4 Ho 2.87-2.88, 2 Gd 2.89


Record 5
Density functional theory data (PBE) for crystalline Hf2Al2FeCu3 at its relaxed geometry.

a b c (Å): 4.1556 4.1556 7.9985
angles (deg): 90.00 90.00 120.00
With the nearest neighbours (Å) after each atom.
Space group P3m1 (No. 156)
One atom of each set of equivalent atoms:
Hf (0.0000, 0.0000, 0.0000)  1 Fe 2.63, 7 Cu 2.70-2.75
Hf (0.3333, 0.6667, 0.5141)  5 Cu 2.65-2.78, 3 Fe 2.71
Al (0.6667, 0.3333, 0.2511)  6 Cu 2.49-2.51
Al (0.6667, 0.3333, 0.7460)  3 Fe 2.47, 3 Cu 2.53
Fe (0.0000, 0.0000, 0.6717)  3 Al 2.47, 1 Cu 2.62, 4 Hf 2.63-2.71
Cu (0.0000, 0.0000, 0.3441)  3 Al 2.51, 1 Fe 2.62, 4 Hf 2.75-2.76, 3 Cu 2.79
Cu (0.3333, 0.6667, 0.1663)  3 Al 2.49, 4 Cu 2.57-2.79, 4 Hf 2.74-2.78
Cu (0.3333, 0.6667, 0.8453)  3 Al 2.53, 1 Cu 2.57, 4 Hf 2.65-2.70, 3 Fe 2.77


Record 6
Density functional theory data (PBE) for crystalline Hf2Al2FeCu2Pd at its relaxed geometry.

a b c (Å): 4.3932 4.3932 6.2509
angles (deg): 90.00 90.00 90.00
With the nearest neighbours (Å) after each atom.
Space group P-4m2 (No. 115)
One atom of each set of equivalent atoms:
Hf (0.0000, 0.5000, 0.2387)  2 Fe 2.66, 4 Cu 2.66-2.74, 2 Pd 2.74
Al (0.0000, 0.5000, 0.7570)  2 Fe 2.67, 4 Cu 2.67-2.72, 2 Pd 2.72
Fe (0.5000, 0.5000, 0.0000)  4 Hf 2.66, 4 Al 2.67
Cu (0.0000, 0.0000, 0.0000)  4 Hf 2.66, 4 Al 2.67
Cu (0.5000, 0.5000, 0.5000)  4 Al 2.72, 4 Hf 2.74
Pd (0.0000, 0.0000, 0.5000)  4 Al 2.72, 4 Hf 2.74


Record 7
Density functional theory data (PBE) for crystalline Hf2ZrAl3FeCu2 at its relaxed geometry.

a b c (Å): 4.0827 11.1841 6.3752
angles (deg): 90.00 90.00 90.00
With the nearest neighbours (Å) after each atom.
Space group Amm2 (No. 38)
One atom of each set of equivalent atoms:
Hf (0.0000, 0.2034, 0.0000)  1 Fe 2.60, 4 Cu 2.81
Zr (0.0000, 0.0000, 0.3884)  1 Fe 2.65, 4 Cu 2.84
Al (0.5000, 0.0000, 0.0391)  2 Cu 2.50, 2 Fe 2.53, 2 Al 2.67
Al (0.5000, 0.1196, 0.6769)  2 Cu 2.48-2.49, 2 Fe 2.57, 2 Al 2.67-2.68
Fe (0.0000, 0.0000, 0.8034)  6 Al 2.53-2.57, 2 Hf 2.60, 1 Zr 2.65
Cu (0.5000, 0.1691, 0.2962)  3 Al 2.48-2.50


Record 8
Density functional theory data (PBE) for crystalline Ho2TmAl3FeCu2 at its relaxed geometry.

a b c (Å): 4.0853 11.8760 6.8590
angles (deg): 90.00 90.00 90.00
With the nearest neighbours (Å) after each atom.
Space group Amm2 (No. 38)
One atom of each set of equivalent atoms:
Ho (0.0000, 0.2051, 0.0000)  1 Fe 2.82, 4 Cu 2.91-2.92
Tm (0.0000, 0.0000, 0.3858)  1 Fe 2.79, 4 Cu 2.90
Al (0.5000, 0.0000, 0.0232)  2 Fe 2.59, 2 Cu 2.71, 2 Al 2.72
Al (0.5000, 0.1143, 0.6798)  2 Fe 2.57, 2 Cu 2.71-2.74, 2 Al 2.71-2.72
Fe (0.0000, 0.0000, 0.7921)  6 Al 2.57-2.59, 1 Tm 2.79, 2 Ho 2.82
Cu (0.5000, 0.1653, 0.2952)  3 Al 2.71-2.74, 2 Tm 2.90, 4 Ho 2.91-2.92


Record 9
Density functional theory data (PBE) for crystalline YHo2Al3FeCu2 at its relaxed geometry.

a b c (Å): 3.9921 12.1078 6.9715
angles (deg): 90.00 90.00 90.00
With the nearest neighbours (Å) after each atom.
Space group Amm2 (No. 38)
One atom of each set of equivalent atoms:
Y (0.0000, 0.0000, 0.0000)  1 Fe 2.91, 4 Cu 2.92, 6 Al 3.17-3.20
Ho (0.0000, 0.2062, 0.6194)  1 Fe 2.87, 4 Cu 2.89, 6 Al 3.18-3.20
Al (0.5000, 0.0000, 0.6475)  2 Fe 2.56, 2 Cu 2.76, 2 Al 2.82
Al (0.5000, 0.1166, 0.2968)  2 Fe 2.58, 2 Cu 2.72-2.75, 2 Al 2.82
Fe (0.0000, 0.0000, 0.4167)  6 Al 2.56-2.58, 2 Ho 2.87
Cu (0.5000, 0.1686, 0.9129)  3 Al 2.72-2.76, 4 Ho 2.89, 2 Y 2.92


Record 10
Density functional theory data (PBE) for crystalline LiAl2FeCu4 at its relaxed geometry.

a b c (Å): 5.7545 5.7545 11.6704
angles (deg): 90.00 90.00 90.00
With the nearest neighbours (Å) after each atom.
Space group I4_1/amd (No. 141, origin choice 2)
One atom of each set of equivalent atoms:
Li (0.0000, 0.2500, 0.3750)  8 Cu 2.50
Al (0.0000, 0.2500, 0.1226)  8 Cu 2.49-2.51
Fe (0.0000, 0.2500, 0.8750)  8 Cu 2.51
Cu (0.2480, 0.0000, 0.5000)  4 Al 2.49-2.51, 2 Li 2.50, 2 Fe 2.51


Record 11
Density functional theory data (PBE) for crystalline LiAl2FeCu4 at its relaxed geometry.

a b c (Å): 4.0714 4.0714 5.9335
angles (deg): 90.00 90.00 90.00
With the nearest neighbours (Å) after each atom.
Space group P4/mmm (No. 123)
One atom of each set of equivalent atoms:
Li (0.0000, 0.0000, 0.0000)  8 Cu 2.52
Al (0.0000, 0.0000, 0.5000)  8 Cu 2.52
Al (0.5000, 0.5000, 0.0000)  8 Cu 2.52
Fe (0.5000, 0.5000, 0.5000)  8 Cu 2.52
Cu (0.0000, 0.5000, 0.2491)  2 Li 2.52, 4 Al 2.52, 2 Fe 2.52


Record 12
Density functional theory data (PBE) for crystalline LuAlFeCu at its relaxed geometry.

a b c (Å): 6.2968 6.2968 6.2968
angles (deg): 90.00 90.00 90.00
With the nearest neighbours (Å) after each atom.
Space group F-43m (No. 216)
One atom of each set of equivalent atoms:
Lu (0.0000, 0.0000, 0.0000)  4 Al 2.73, 4 Cu 2.73
Al (0.2500, 0.2500, 0.7500)  4 Fe 2.73, 4 Lu 2.73
Fe (0.0000, 0.0000, 0.5000)  4 Cu 2.73, 4 Al 2.73
Cu (0.2500, 0.2500, 0.2500)  4 Lu 2.73, 4 Fe 2.73


How do the records compare in uncorrected energy? In the order shown, they have -0.353; -0.368; -0.358; -0.361; -0.452; -0.476; -0.483; -0.360; -0.376; -0.309; -0.310; -0.373 Ry/atom.